Record 1
Computed, not measured: HgPd8Au6 after structural relaxation at the GGA-PBE level of DFT.

The space group is P6/mmm (No. 191) and the conventional cell measures 8.1254, 8.1254 and 4.7139 Å, with angles of 90.00, 90.00 and 120.00 degrees. The inequivalent atoms are Hg at (0.0000, 0.0000, 0.0000), Pd at (0.0000, 0.3290, 0.5000), Pd at (0.3333, 0.6667, 0.5000) and Au at (0.2134, 0.4268, 0.0000).

The density of states at the Fermi level comes out at 13.885 states/eV per cell.

Record 2
Computed, not measured: HgPd5Au2 after structural relaxation at the GGA-PBE level of DFT.

The space group is I4/mmm (No. 139) and the conventional cell measures 4.048, 4.048 and 16.261 Å, with angles of 90.00, 90.00 and 90.00 degrees. The inequivalent atoms are Hg at (0.000, 0.000, 0.000), Pd at (0.000, 0.000, 0.500), Pd at (0.000, 0.500, 0.125) and Au at (0.000, 0.000, 0.250).

The density of states at the Fermi level comes out at 22.615 states/eV per cell. As for the offset from the most stable computed form: 0 meV per atom.

Record 3
Computed, not measured: HgPd3Au after structural relaxation at the GGA-PBE level of DFT.

The space group is Pm-3m (No. 221) and the conventional cell measures 4.997, 4.997 and 4.997 Å, with angles of 90.00, 90.00 and 90.00 degrees. The inequivalent atoms are Hg at (0.000, 0.000, 0.000), Pd at (0.000, 0.500, 0.500) and Au at (0.500, 0.500, 0.500).

The density of states at the Fermi level comes out at 2.785 states/eV per cell. As for the offset from the most stable computed form: 847 meV per atom.

Record 4
Computed, not measured: HgPd6Au2 after structural relaxation at the GGA-PBE level of DFT.

The space group is C2/m (No. 12) and the conventional cell measures 8.898, 4.074 and 8.553 Å, with angles of 90.00, 106.40 and 90.00 degrees. The inequivalent atoms are Hg at (0.000, 0.000, 0.000), Pd at (0.005, 0.000, 0.339), Pd at (0.163, 0.500, 0.885), Pd at (0.164, 0.500, 0.555) and Au at (0.175, 0.500, 0.230).

The density of states at the Fermi level comes out at 24.137 states/eV per cell. As for the offset from the most stable computed form: 0 meV per atom.

Record 5
Computed, not measured: HgPd6Au3 after structural relaxation at the GGA-PBE level of DFT.

The space group is P2_1/m (No. 11) and the conventional cell measures 9.019, 4.061 and 9.097 Å, with angles of 90.00, 90.71 and 90.00 degrees. The inequivalent atoms are Hg at (0.056, 0.250, 0.390), Pd at (0.048, 0.750, 0.903), Pd at (0.146, 0.250, 0.701), Pd at (0.155, 0.750, 0.195), Pd at (0.250, 0.750, 0.498), Pd at (0.355, 0.250, 0.297), Pd at (0.452, 0.750, 0.100), Au at (0.250, 0.250, 0.002), Au at (0.346, 0.750, 0.801) and Au at (0.448, 0.250, 0.600).

The density of states at the Fermi level comes out at 20.007 states/eV per cell. As for the offset from the most stable computed form: 0 meV per atom.

Record 6
Computed, not measured: HgPd5Au4 after structural relaxation at the GGA-PBE level of DFT.

The space group is P4/mmm (No. 123) and the conventional cell measures 3.259, 3.259 and 16.037 Å, with angles of 90.00, 90.00 and 90.00 degrees. The inequivalent atoms are Hg at (0.000, 0.000, 0.000), Pd at (0.500, 0.500, 0.103), Pd at (0.500, 0.500, 0.302), Pd at (0.500, 0.500, 0.500), Au at (0.000, 0.000, 0.204) and Au at (0.000, 0.000, 0.401).

The density of states at the Fermi level comes out at 5.339 states/eV per cell.

Record 7
Computed, not measured: Hg2Pd2Au5 after structural relaxation at the GGA-PBE level of DFT.

The space group is Ima2 (No. 46) and the conventional cell measures 17.130, 4.797 and 8.116 Å, with angles of 90.00, 90.00 and 90.00 degrees. The inequivalent atoms are Hg at (0.000, 0.000, 0.000), Hg at (0.250, 0.048, 0.343), Pd at (0.085, 0.501, 0.171), Au at (0.083, 0.002, 0.334), Au at (0.164, 0.509, 0.505) and Au at (0.250, 0.548, 0.178).

The density of states at the Fermi level comes out at 10.915 states/eV per cell. As for the offset from the most stable computed form: 59 meV per atom.

Record 8
Computed, not measured: Hg3Pd5Au after structural relaxation at the GGA-PBE level of DFT.

The space group is P6_3/mcm (No. 193) and the conventional cell measures 8.1389, 8.1389 and 5.5741 Å, with angles of 90.00, 90.00 and 120.00 degrees. The inequivalent atoms are Hg at (0.0000, 0.3580, 0.2500), Pd at (0.0000, 0.3107, 0.7500), Pd at (0.3333, 0.6667, 0.0000) and Au at (0.0000, 0.0000, 0.0000).

The density of states at the Fermi level comes out at 5.827 states/eV per cell.

Record 9
Computed, not measured: HgPdAu2 after structural relaxation at the GGA-PBE level of DFT.

The space group is P4/mmm (No. 123) and the conventional cell measures 3.422, 3.422 and 6.242 Å, with angles of 90.00, 90.00 and 90.00 degrees. The inequivalent atoms are Hg at (0.000, 0.000, 0.000), Pd at (0.000, 0.000, 0.500) and Au at (0.500, 0.500, 0.265).

The density of states at the Fermi level comes out at 1.503 states/eV per cell.

Record 10
Computed, not measured: Hg8Pd3Au2 after structural relaxation at the GGA-PBE level of DFT.

The space group is P2/m (No. 10) and the conventional cell measures 8.344, 4.501 and 8.429 Å, with angles of 90.00, 113.67 and 90.00 degrees. The inequivalent atoms are Hg at (0.111, 0.000, 0.391), Hg at (0.122, 0.500, 0.867), Hg at (0.366, 0.000, 0.128), Hg at (0.367, 0.500, 0.622), Pd at (0.264, 0.000, 0.764), Pd at (0.500, 0.500, 0.000) and Au at (0.246, 0.500, 0.256).

The density of states at the Fermi level comes out at 5.416 states/eV per cell.

Record 11
Computed, not measured: Hg3Pd8Au2 after structural relaxation at the GGA-PBE level of DFT.

The space group is R-3m (No. 166, hexagonal axes) and the conventional cell measures 5.2229, 5.2229 and 30.6262 Å, with angles of 90.00, 90.00 and 120.00 degrees. The inequivalent atoms are Hg at (0.0000, 0.0000, 0.0000), Hg at (0.0000, 0.0000, 0.1820), Pd at (0.0000, 0.0000, 0.2717), Pd at (0.0010, 0.5005, 0.7683) and Au at (0.0000, 0.0000, 0.3589).

The density of states at the Fermi level comes out at 20.548 states/eV per cell. As for the offset from the most stable computed form: 8 meV per atom.

Record 12
Computed, not measured: HgPd2Au2 after structural relaxation at the GGA-PBE level of DFT.

The space group is I4/mmm (No. 139) and the conventional cell measures 3.802, 3.802 and 13.597 Å, with angles of 90.00, 90.00 and 90.00 degrees. The inequivalent atoms are Hg at (0.000, 0.000, 0.000), Pd at (0.000, 0.000, 0.403) and Au at (0.000, 0.500, 0.250).

The density of states at the Fermi level comes out at 3.553 states/eV per cell. As for the offset from the most stable computed form: 169 meV per atom.

Record 13
Computed, not measured: HgPd7Au3 after structural relaxation at the GGA-PBE level of DFT.

The space group is C2/m (No. 12) and the conventional cell measures 9.070, 9.424 and 5.209 Å, with angles of 90.00, 114.43 and 90.00 degrees. The inequivalent atoms are Hg at (0.000, 0.000, 0.000), Pd at (0.000, 0.000, 0.500), Pd at (0.174, 0.257, 0.176), Pd at (0.211, 0.500, 0.540), Au at (0.000, 0.284, 0.500) and Au at (0.000, 0.500, 0.000).

The density of states at the Fermi level comes out at 24.702 states/eV per cell. As for the offset from the most stable computed form: 165 meV per atom.

Record 14
Computed, not measured: HgPd3Au6 after structural relaxation at the GGA-PBE level of DFT.

The space group is P1 (No. 1) and the conventional cell measures 2.958, 7.059 and 8.711 Å, with angles of 74.53, 89.93 and 89.28 degrees. The inequivalent atoms are Hg at (0.000, 0.000, 0.000), Pd at (0.002, 0.796, 0.595), Pd at (0.499, 0.502, 0.491), Pd at (0.996, 0.609, 0.196), Au at (0.001, 0.400, 0.783), Au at (0.497, 0.314, 0.095), Au at (0.498, 0.894, 0.308), Au at (0.501, 0.096, 0.685), Au at (0.501, 0.699, 0.890) and Au at (0.999, 0.210, 0.391).

The density of states at the Fermi level comes out at 3.998 states/eV per cell. As for the offset from the most stable computed form: 0 meV per atom.

Record 15
Computed, not measured: Hg3PdAu after structural relaxation at the GGA-PBE level of DFT.

The space group is Pm-3m (No. 221) and the conventional cell measures 5.218, 5.218 and 5.218 Å, with angles of 90.00, 90.00 and 90.00 degrees. The inequivalent atoms are Hg at (0.000, 0.000, 0.500), Pd at (0.000, 0.000, 0.000) and Au at (0.500, 0.500, 0.500).

The density of states at the Fermi level comes out at 2.347 states/eV per cell. As for the offset from the most stable computed form: 311 meV per atom.

Record 16
Computed, not measured: HgPd6Au8 after structural relaxation at the GGA-PBE level of DFT.

The space group is R-3 (No. 148, hexagonal axes) and the conventional cell measures 7.7630, 7.7630 and 16.4787 Å, with angles of 90.00, 90.00 and 120.00 degrees. The inequivalent atoms are Hg at (0.0000, 0.0000, 0.0000), Pd at (0.0052, 0.3263, 0.6180), Au at (0.0000, 0.0000, 0.3176) and Au at (0.9995, 0.3248, 0.7872).

The density of states at the Fermi level comes out at 8.246 states/eV per cell.

Record 17
Computed, not measured: Hg3Pd4Au2 after structural relaxation at the GGA-PBE level of DFT.

The space group is C2/m (No. 12) and the conventional cell measures 12.606, 4.087 and 6.577 Å, with angles of 90.00, 108.92 and 90.00 degrees. The inequivalent atoms are Hg at (0.000, 0.000, 0.000), Hg at (0.117, 0.000, 0.649), Pd at (0.055, 0.500, 0.329), Pd at (0.223, 0.000, 0.328) and Au at (0.166, 0.500, 0.000).

The density of states at the Fermi level comes out at 5.409 states/eV per cell. As for the offset from the most stable computed form: 7 meV per atom.

Record 18
Computed, not measured: Hg3PdAu after structural relaxation at the GGA-PBE level of DFT.

The space group is C2/c (No. 15) and the conventional cell measures 14.959, 13.714 and 4.478 Å, with angles of 90.00, 107.23 and 90.00 degrees. The inequivalent atoms are Hg at (0.103, 0.089, 0.356), Hg at (0.127, 0.416, 0.377), Hg at (0.129, 0.251, 0.879), Pd at (0.000, 0.263, 0.250), Pd at (0.000, 0.415, 0.750) and Au at (0.237, 0.077, 0.988).

The density of states at the Fermi level comes out at 17.002 states/eV per cell. As for the offset from the most stable computed form: 0 meV per atom.

Record 19
Computed, not measured: HgPdAu4 after structural relaxation at the GGA-PBE level of DFT.

The space group is C2/m (No. 12) and the conventional cell measures 5.252, 8.002 and 5.666 Å, with angles of 90.00, 109.60 and 90.00 degrees. The inequivalent atoms are Hg at (0.000, 0.000, 0.000), Pd at (0.000, 0.000, 0.500) and Au at (0.018, 0.322, 0.258).

The density of states at the Fermi level comes out at 4.005 states/eV per cell. As for the offset from the most stable computed form: 45 meV per atom.

Record 20
Computed, not measured: Hg2Pd3Au3 after structural relaxation at the GGA-PBE level of DFT.

The space group is Immm (No. 71) and the conventional cell measures 4.893, 4.919 and 11.890 Å, with angles of 90.00, 90.00 and 90.00 degrees. The inequivalent atoms are Hg at (0.000, 0.000, 0.246), Pd at (0.000, 0.000, 0.000), Pd at (0.000, 0.500, 0.123), Au at (0.000, 0.000, 0.500) and Au at (0.000, 0.500, 0.379).

The density of states at the Fermi level comes out at 6.467 states/eV per cell. As for the offset from the most stable computed form: 85 meV per atom.

In eV per atom, the energy of formation values for the records above are, in order, 0.076; -0.087; 0.817; -0.078; -0.083; -0.092; 0.035; -0.117; -0.001; -0.020; 0.105; 0.112; 0.168; -0.035; 0.302; 0.039; -0.098; -0.009; 0.015; -0.045.